No. 1
This record from Alexandria describes an optimized crystal structure of Fe2C. The functional is PBEsol.

Calculated values
ΔE_f: -0.0206 eV/atom
total magnetic moment: 5.901 μB/cell

a = 4.244 Å, b = 4.595 Å, c = 2.784 Å
α = 90.00°, β = 90.00°, γ = 90.00°
Space group Pnnm (No. 58)
One atom of each set of equivalent atoms:
1 Fe 0.248 0.153 0.000
2 C 0.000 0.500 0.000

***

No. 2
This record from Alexandria describes an optimized crystal structure of Ho2Ga3Fe14C2. The functional is PBEsol.

Calculated values
ΔE_f: -0.1782 eV/atom
total magnetic moment: 46.138 μB/cell

a = 9.559 Å, b = 8.368 Å, c = 6.397 Å
α = 90.00°, β = 99.02°, γ = 90.00°
Space group C2/m (No. 12)
One atom of each set of equivalent atoms:
1 Ho 0.153 0.000 0.337
2 Ga 0.000 0.500 0.500
3 Ga 0.250 0.250 0.000
4 Fe 0.000 0.200 0.000
5 Fe 0.091 0.500 0.905
6 Fe 0.099 0.248 0.653
7 Fe 0.140 0.356 0.283
8 Fe 0.153 0.000 0.845
9 C 0.250 0.250 0.500

***

No. 3
This record from Alexandria describes an optimized crystal structure of Y2Ga3Fe14C2. The functional is PBEsol.

Calculated values
ΔE_f: -0.1729 eV/atom
total magnetic moment: 46.627 μB/cell

a = 9.570 Å, b = 8.400 Å, c = 6.402 Å
α = 90.00°, β = 98.86°, γ = 90.00°
Space group C2/m (No. 12)
One atom of each set of equivalent atoms:
1 Y 0.153 0.000 0.337
2 Ga 0.000 0.500 0.500
3 Ga 0.250 0.250 0.000
4 Fe 0.000 0.204 0.000
5 Fe 0.091 0.500 0.905
6 Fe 0.099 0.249 0.654
7 Fe 0.141 0.357 0.284
8 Fe 0.154 0.000 0.845
9 C 0.250 0.250 0.500

***

No. 4
This record from Alexandria describes an optimized crystal structure of Gd2Fe17C3. The functional is PBEsol.

Calculated values
ΔE_f: -0.0661 eV/atom
total magnetic moment: 135.168 μB/cell

a = 8.4911 Å, b = 8.4911 Å, c = 12.2419 Å
α = 90.00°, β = 90.00°, γ = 120.00°
Space group R-3m (No. 166, hexagonal axes)
One atom of each set of equivalent atoms:
1 Gd 0.0000 0.0000 0.1553
2 Fe 0.0000 0.0000 0.4047
3 Fe 0.0000 0.2828 0.5000
4 Fe 0.0000 0.5000 0.0000
5 Fe 0.0085 0.5042 0.3472
6 C 0.0000 0.5000 0.5000

***

Q: Which of these has the highest total magnetic moment?
A: Gd2Fe17C3

***

Q: total magnetic moment of number 1 (Fe2C)?
A: 5.901 μB/cell

***

Repeat the second record exactly.
This record from Alexandria describes an optimized crystal structure of Ho2Ga3Fe14C2. The functional is PBEsol.

Calculated values
ΔE_f: -0.1782 eV/atom
total magnetic moment: 46.138 μB/cell

a = 9.559 Å, b = 8.368 Å, c = 6.397 Å
α = 90.00°, β = 99.02°, γ = 90.00°
Space group C2/m (No. 12)
One atom of each set of equivalent atoms:
1 Ho 0.153 0.000 0.337
2 Ga 0.000 0.500 0.500
3 Ga 0.250 0.250 0.000
4 Fe 0.000 0.200 0.000
5 Fe 0.091 0.500 0.905
6 Fe 0.099 0.248 0.653
7 Fe 0.140 0.356 0.283
8 Fe 0.153 0.000 0.845
9 C 0.250 0.250 0.500

***

Copy entry 2 word for word.
This record from Alexandria describes an optimized crystal structure of Ho2Ga3Fe14C2. The functional is PBEsol.

Calculated values
ΔE_f: -0.1782 eV/atom
total magnetic moment: 46.138 μB/cell

a = 9.559 Å, b = 8.368 Å, c = 6.397 Å
α = 90.00°, β = 99.02°, γ = 90.00°
Space group C2/m (No. 12)
One atom of each set of equivalent atoms:
1 Ho 0.153 0.000 0.337
2 Ga 0.000 0.500 0.500
3 Ga 0.250 0.250 0.000
4 Fe 0.000 0.200 0.000
5 Fe 0.091 0.500 0.905
6 Fe 0.099 0.248 0.653
7 Fe 0.140 0.356 0.283
8 Fe 0.153 0.000 0.845
9 C 0.250 0.250 0.500